HgPbAu4: optimized geometry, PBEsol.

Output
Calculated density: 16.52 g/cm3
E_tot: -3.35 eV/atom

Lattice parameters (Å, degrees): 5.539 5.539 5.539 60.00 60.00 60.00
Positions (direct):
1 Hg 0.000 0.000 0.000
2 Pb 0.250 0.250 0.250
3 Au 0.124 0.625 0.625
4 Au 0.625 0.124 0.625
5 Au 0.625 0.625 0.124
6 Au 0.625 0.625 0.625